A relaxed Na2Zn3Ga5 crystal, computed with PBE.

Values from the calculation:
Total energy = -2.245 eV per atom
DFT formation energy = -0.85 eV/f.u.

a b c (Å): 11.5365 11.5527 5.9266
angles (deg): 90.00 90.00 90.00
With the nearest neighbours (Å) after each atom.
Space group Ibam (No. 72)
Unique sites:
Na 0.1258 0.2499 0.0000 x8  4 Ga 3.14-3.22, 4 Zn 3.14-3.21
Zn 0.0000 0.0000 0.2500 x4  6 Ga 2.63-2.88
Zn 0.1241 0.3576 0.5000 x8  5 Ga 2.49-2.65
Ga 0.0000 0.5000 0.2500 x4  4 Zn 2.64, 2 Ga 2.88
Ga 0.1236 0.1418 0.5000 x8  3 Zn 2.49-2.63, 2 Ga 2.65
Ga 0.2500 0.0000 0.2500 x8  5 Ga 2.65-2.96, 3 Zn 2.65-2.88

---

A relaxed TbGdCuOs crystal, computed with PBE.

Values from the calculation:
Total energy = -8.726 eV per atom
DFT formation energy = -0.87 eV/f.u.

a b c (Å): 6.9089 6.9089 6.9089
angles (deg): 90.00 90.00 90.00
With the nearest neighbours (Å) after each atom.
Space group F-43m (No. 216)
Unique sites:
Tb 0.0000 0.0000 0.0000 x4  4 Cu 2.99, 4 Os 2.99
Gd 0.0000 0.0000 0.5000 x4  4 Os 2.99, 4 Cu 2.99
Cu 0.2500 0.2500 0.2500 x4  4 Gd 2.99, 4 Tb 2.99
Os 0.2500 0.2500 0.7500 x4  4 Gd 2.99, 4 Tb 2.99

---

A relaxed Tm6Al7Cu16 crystal, computed with PBE.

Values from the calculation:
Total energy = -4.472 eV per atom
DFT formation energy = -11.13 eV/f.u.

a b c (Å): 12.2424 12.2424 12.2424
angles (deg): 90.00 90.00 90.00
With the nearest neighbours (Å) after each atom.
Space group Fm-3m (No. 225)
Unique sites:
Tm 0.0000 0.0000 0.2106 x24  8 Cu 2.94-3.02, 4 Al 3.10
Al 0.0000 0.0000 0.5000 x4  8 Cu 2.57
Al 0.0000 0.2500 0.2500 x24  8 Cu 2.50-2.68
Cu 0.1211 0.1211 0.3789 x32  4 Al 2.57-2.68, 3 Cu 2.68
Cu 0.1726 0.1726 0.1726 x32  3 Al 2.50, 6 Cu 2.68

---

A relaxed GdTi2V crystal, computed with PBE.

Values from the calculation:
Polymorph energy (0 for the lowest one) = 237 meV/atom
Total energy = -9.338 eV per atom
DFT formation energy = 1.64 eV/f.u.

a b c (Å): 2.9973 2.9973 30.3437
angles (deg): 90.00 90.00 120.00
With the nearest neighbours (Å) after each atom.
Space group R-3m (No. 166, hexagonal axes)
Unique sites:
Gd 0.0000 0.0000 0.0000 x3  6 Gd 3.00, 2 Ti 3.02
Ti 0.0000 0.0000 0.0997 x6  3 V 2.67
V 0.0000 0.0000 0.5000 x3  6 Ti 2.67

---

A relaxed AlSi2Tc crystal, computed with PBE.

Values from the calculation:
Formation energy (no corrections) = 0.1060 eV/atom
Total energy = -6.133 eV per atom

a b c (Å): 3.1286 4.8122 7.9414
angles (deg): 90.00 90.00 90.00
With the nearest neighbours (Å) after each atom.
Space group Cmmm (No. 65)
Unique sites:
Al 0.0000 0.0000 0.0000 x2  4 Si 2.62, 4 Al 2.87
Si 0.0000 0.5000 0.2650 x4  2 Tc 2.44, 2 Al 2.62
Tc 0.0000 0.0000 0.5000 x2  4 Si 2.44

---

A relaxed Te2MoHN crystal, computed with PBE.

Values from the calculation:
Polymorph energy (0 for the lowest one) = 0 meV/atom
Total energy = -5.036 eV per atom

a b c (Å): 5.3883 5.3883 3.7877
angles (deg): 90.00 90.00 90.00
With the nearest neighbours (Å) after each atom.
Space group P4/mmm (No. 123)
Unique sites:
Te 0.0000 0.5000 0.0000 x2  2 Mo 2.69
Mo 0.0000 0.0000 0.0000 x1  2 N 1.89
H 0.5000 0.5000 0.5000 x1  8 Te 3.29
N 0.0000 0.0000 0.5000 x1  2 Mo 1.89

---

A relaxed Be3MoH crystal, computed with PBE.

Values from the calculation:
Polymorph energy (0 for the lowest one) = 0 meV/atom
Total energy = -4.991 eV per atom

a b c (Å): 3.4814 3.4814 3.4814
angles (deg): 90.00 90.00 90.00
With the nearest neighbours (Å) after each atom.
Space group Pm-3m (No. 221)
Unique sites:
Be 0.0000 0.0000 0.5000 x3  2 H 1.74
Mo 0.5000 0.5000 0.5000 x1  12 Be 2.46
H 0.0000 0.0000 0.0000 x1  6 Be 1.74

---

A relaxed LaIn2As crystal, computed with PBE.

Values from the calculation:
Total energy = -3.912 eV per atom
DFT formation energy = -0.59 eV/f.u.

a b c (Å): 4.0151 4.0151 25.1725
angles (deg): 90.00 90.00 120.00
With the nearest neighbours (Å) after each atom.
Space group R-3m (No. 166, hexagonal axes)
Unique sites:
La 0.0000 0.0000 0.0000 x3  6 In 3.45
In 0.0000 0.0000 0.2317 x6  3 As 2.84
As 0.0000 0.0000 0.5000 x3  6 In 2.84

---

A relaxed Pr3Dy3Tm4 crystal, computed with PBE.

Values from the calculation:
Total energy = -4.507 eV per atom
DFT formation energy = 0.96 eV/f.u.

a b c (Å): 3.6680 13.3520 13.4242
angles (deg): 90.00 90.00 90.00
With the nearest neighbours (Å) after each atom.
Space group Amm2 (No. 38)
Unique sites:
Pr 0.0000 0.0000 0.0000 x2  6 Tm 3.28-3.42, 2 Pr 3.67
Pr 0.0000 0.1748 0.6732 x4  6 Tm 3.27-3.41
Dy 0.0000 0.0000 0.3482 x2  6 Tm 3.25-3.37
Dy 0.5000 0.2459 0.4217 x4  4 Dy 3.67-3.89, 4 Tm 3.68-3.85, 6 Pr 3.95-4.00
Tm 0.5000 0.0000 0.5481 x2  2 Dy 3.25, 1 Tm 3.35, 4 Pr 3.41
Tm 0.5000 0.0000 0.7976 x2  6 Pr 3.28-3.41, 3 Tm 3.35-3.67
Tm 0.5000 0.1229 0.1767 x4  4 Pr 3.27-3.42, 1 Tm 3.28, 2 Dy 3.37

---

A relaxed Er4ZnAu2 crystal, computed with PBE.

Values from the calculation:
Total energy = -4.284 eV per atom
DFT formation energy = -3.91 eV/f.u.

a b c (Å): 4.9832 4.9832 24.3299
angles (deg): 90.00 90.00 120.00
With the nearest neighbours (Å) after each atom.
Space group R-3m (No. 166, hexagonal axes)
Unique sites:
Er 0.0000 0.0000 0.1231 x6  4 Au 3.04-3.11, 3 Zn 3.07
Er 0.0000 0.0000 0.3740 x6  4 Au 3.00-3.05, 1 Zn 3.07
Zn 0.0000 0.0000 0.5000 x3  8 Er 3.07
Au 0.0000 0.0000 0.2508 x6  8 Er 3.00-3.11

---

A relaxed Fe2MoAs crystal, computed with PBE.

Values from the calculation:
Total energy = -7.266 eV per atom
DFT formation energy = 3.34 eV/f.u.

a b c (Å): 5.2392 5.2392 10.5821
angles (deg): 90.00 90.00 90.00
With the nearest neighbours (Å) after each atom.
Space group I-42d (No. 122)
Unique sites:
Fe 0.2443 0.2500 0.1250 x8  2 As 2.26, 2 Mo 2.29
Mo 0.0000 0.0000 0.5000 x4  4 Fe 2.29
As 0.0000 0.0000 0.0000 x4  4 Fe 2.26

---

A relaxed HgSbAu2 crystal, computed with PBE.

Values from the calculation:
Formation energy (no corrections) = 0.0794 eV/atom
Polymorph energy (0 for the lowest one) = 56 meV/atom
Total energy = -2.665 eV per atom

a b c (Å): 8.4559 3.6454 6.2374
angles (deg): 90.00 104.85 90.00
With the nearest neighbours (Å) after each atom.
Space group Cm (No. 8)
Unique sites:
Hg 0.0000 0.0000 0.0000 x2  3 Au 2.88-2.90, 3 Sb 3.18-3.20
Sb 0.2666 0.5000 0.3272 x2  3 Au 2.80-2.84
Au 0.0075 0.5000 0.5399 x2  3 Sb 2.80-2.84, 3 Au 2.82-2.86
Au 0.2501 0.0000 0.7606 x2  3 Au 2.82-2.86, 3 Hg 2.88-2.90